# 1
Below is crystalline LaDy6Cd2 at its relaxed geometry, with properties calculated at the PBE-GGA level.

Geometry as CIF:
```
data_LaDy6Cd2
_symmetry_space_group_name_H-M 'C 1 2/m 1'
_symmetry_Int_Tables_number 12
_cell_length_a 12.732
_cell_length_b 3.749
_cell_length_c 11.959
_cell_angle_alpha 90.00
_cell_angle_beta 108.07
_cell_angle_gamma 90.00
loop_
_symmetry_equiv_pos_as_xyz
'x,y,z'
'-x,-y,-z'
'-x,y,-z'
'x,-y,z'
'x+1/2,y+1/2,z'
'-x+1/2,-y+1/2,-z'
'-x+1/2,y+1/2,-z'
'x+1/2,-y+1/2,z'
loop_
_atom_site_label
_atom_site_fract_x
_atom_site_fract_y
_atom_site_fract_z
La1 0.000 0.000 0.000
Dy1 0.015 0.000 0.342
Dy2 0.186 0.500 0.581
Dy3 0.186 0.500 0.875
Cd1 0.152 0.500 0.221
```

Properties
M_tot: 0.00 μB/f.u.
E: -3.945 eV per atom
ΔH_f (0 K): -2.90 kcal/mol of atoms

---

# 2
Below is crystalline La6Dy2Cd at its relaxed geometry, with properties calculated at the PBE-GGA level.

Geometry as CIF:
```
data_La6Dy2Cd
_symmetry_space_group_name_H-M 'P -6 2 m'
_symmetry_Int_Tables_number 189
_symmetry_space_group_name_Hall 'P -6 -2'
_cell_length_a 9.8893
_cell_length_b 9.8893
_cell_length_c 3.6660
_cell_angle_alpha 90.00
_cell_angle_beta 90.00
_cell_angle_gamma 120.00
loop_
_atom_site_label
_atom_site_fract_x
_atom_site_fract_y
_atom_site_fract_z
La1 0.0000 0.3682 0.0000
La2 0.0000 0.7124 0.5000
Dy1 0.3333 0.6667 0.5000
Cd1 0.0000 0.0000 0.0000
```

Properties
M_tot: 0.00 μB/f.u.
E: -4.463 eV per atom
ΔH_f (0 K): -1.23 kcal/mol of atoms

---

# 3
Below is crystalline La8Dy2Cd at its relaxed geometry, with properties calculated at the PBE-GGA level.

Geometry as CIF:
```
data_La8Dy2Cd
_symmetry_space_group_name_H-M 'C 1 2/m 1'
_symmetry_Int_Tables_number 12
_cell_length_a 18.274
_cell_length_b 6.866
_cell_length_c 6.187
_cell_angle_alpha 90.00
_cell_angle_beta 103.87
_cell_angle_gamma 90.00
loop_
_symmetry_equiv_pos_as_xyz
'x,y,z'
'-x,-y,-z'
'-x,y,-z'
'x,-y,z'
'x+1/2,y+1/2,z'
'-x+1/2,-y+1/2,-z'
'-x+1/2,y+1/2,-z'
'x+1/2,-y+1/2,z'
loop_
_atom_site_label
_atom_site_fract_x
_atom_site_fract_y
_atom_site_fract_z
La1 0.034 0.000 0.281
La2 0.100 0.500 0.524
La3 0.155 0.234 0.984
Dy1 0.220 0.000 0.537
Cd1 0.000 0.500 0.000
```

Properties
E above lowest polymorph: 75 meV/atom
M_tot: 0.00 μB/f.u.
E: -4.456 eV per atom
ΔH_f (0 K): 1.10 kcal/mol of atoms

---

# 4
Below is crystalline La3Dy2Cd3 at its relaxed geometry, with properties calculated at the PBE-GGA level.

Geometry as CIF:
```
data_La3Dy2Cd3
_symmetry_space_group_name_H-M 'I m m m'
_symmetry_Int_Tables_number 71
_symmetry_space_group_name_Hall '-I 2 2'
_cell_length_a 3.810
_cell_length_b 5.624
_cell_length_c 22.889
_cell_angle_alpha 90.00
_cell_angle_beta 90.00
_cell_angle_gamma 90.00
loop_
_atom_site_label
_atom_site_fract_x
_atom_site_fract_y
_atom_site_fract_z
La1 0.000 0.000 0.000
La2 0.000 0.500 0.124
Dy1 0.000 0.000 0.235
Cd1 0.000 0.000 0.500
Cd2 0.000 0.500 0.376
```

Properties
E above lowest polymorph: 0 meV/atom
M_tot: 0.01 μB/f.u.
E: -3.583 eV per atom
ΔH_f (0 K): -5.56 kcal/mol of atoms